[1]
This record from Alexandria via LeMat-Bulk describes crystalline NaPmSi4 at its relaxed geometry. The functional is GGA-PBE.

The structure in extended XYZ format:
```
6
Lattice="5.357 0.000 0.000 2.678 4.639 0.000 2.678 1.546 4.374" Properties=species:S:1:pos:R:3 pbc="T T T"
Na 0.000 0.000 0.000
Si 5.357 3.093 0.510
Si 5.357 1.512 2.746
Si 6.726 3.883 2.746
Si 3.987 3.883 2.746
Pm 2.678 1.546 1.093
```

Properties
Formation energy from raw total energies, eV/atom: -0.19


[2]
This record from Alexandria via LeMat-Bulk describes crystalline NaPm3Si2 at its relaxed geometry. The functional is GGA-PBE.

The structure in extended XYZ format:
```
6
Lattice="-1.794 -1.326 -2.592 2.606 -2.090 -0.734 -5.402 -9.814 8.760" Properties=species:S:1:pos:R:3 pbc="T T T"
Na -2.295 -6.615 2.717
Pm 0.000 0.000 0.000
Pm -3.931 -7.142 6.374
Pm -1.471 -2.672 2.385
Si -4.220 -10.112 5.838
Si -0.370 -3.118 -0.405
```

Properties
Formation energy from raw total energies, eV/atom: -0.27


[3]
This record from Alexandria via LeMat-Bulk describes crystalline NaPm5Si3 at its relaxed geometry. The functional is GGA-PBE.

The structure in extended XYZ format:
```
18
Lattice="-1.028 6.045 -1.531 -5.835 0.774 6.973 8.856 1.819 1.238" Properties=species:S:1:pos:R:3 pbc="T T T"
Na 0.000 0.000 0.000
Na -0.514 3.023 -0.766
Pm -0.938 1.123 5.061
Pm 3.445 4.493 2.384
Pm 3.959 1.471 3.149
Pm -1.452 4.145 4.296
Pm 1.294 6.306 4.462
Pm -3.801 5.885 6.216
Pm -2.618 4.779 1.060
Pm 0.700 2.333 2.217
Pm 5.794 2.754 0.463
Pm -4.244 2.041 4.382
Si 0.280 5.436 1.706
Si -0.829 6.495 6.632
Si -4.577 5.039 3.400
Si 1.714 3.203 4.973
Si 2.822 2.144 0.048
Si -2.285 1.781 2.041
```

Properties
Formation energy from raw total energies, eV/atom: -0.42


[4]
This record from Alexandria via LeMat-Bulk describes crystalline NaPm4Si4 at its relaxed geometry. The functional is GGA-PBE.

The structure in extended XYZ format:
```
18
Lattice="6.040 0.000 0.000 0.000 8.777 0.000 0.000 0.000 8.777" Properties=species:S:1:pos:R:3 pbc="T T T"
Na 0.000 0.000 0.000
Na 3.020 4.388 4.388
Pm 2.157 2.674 8.033
Pm 5.177 5.132 7.062
Pm 2.157 6.103 0.743
Pm 0.863 1.715 5.132
Pm 3.883 8.033 6.103
Pm 0.863 7.062 3.645
Pm 5.177 3.645 1.715
Pm 3.883 0.743 2.674
Si 3.957 6.669 3.240
Si 3.957 2.108 5.537
Si 0.937 7.628 6.496
Si 5.103 2.281 7.628
Si 5.103 6.496 1.148
Si 2.083 3.240 2.108
Si 2.083 5.537 6.669
Si 0.937 1.148 2.281
```

Properties
Formation energy from raw total energies, eV/atom: -0.38


[5]
This record from Alexandria via LeMat-Bulk describes crystalline NaPmSmSi at its relaxed geometry. The functional is GGA-PBE.

The structure in extended XYZ format:
```
4
Lattice="5.215 0.000 0.000 2.607 4.516 0.000 2.607 1.505 4.258" Properties=species:S:1:pos:R:3 pbc="T T T"
Na 2.607 1.505 1.064
Si 7.822 4.516 3.193
Sm 5.215 3.011 2.129
Pm 0.000 0.000 0.000
```

Properties
Formation energy from raw total energies, eV/atom: -0.17


[6]
This record from Alexandria via LeMat-Bulk describes crystalline NaPmZnSi at its relaxed geometry. The functional is GGA-PBE.

The structure in extended XYZ format:
```
4
Lattice="-2.167 4.031 2.053 -3.850 2.230 -2.315 -4.620 -0.342 1.921" Properties=species:S:1:pos:R:3 pbc="T T T"
Na -5.319 2.960 0.830
Zn -2.659 1.480 0.415
Si -7.978 4.440 1.245
Pm 0.000 0.000 0.000
```

Properties
Formation energy from raw total energies, eV/atom: -0.19


[7]
This record from Alexandria via LeMat-Bulk describes crystalline NaPmSm at its relaxed geometry. The functional is GGA-PBE.

The structure in extended XYZ format:
```
3
Lattice="-2.872 -0.747 2.068 3.145 -1.683 0.598 2.484 6.731 5.881" Properties=species:S:1:pos:R:3 pbc="T T T"
Na 2.483 6.728 5.878
Sm 2.759 3.018 4.923
Pm -0.001 1.286 3.627
```

Properties
Energy relative to the lowest polymorph listed for this composition, meV per atom: 3


[8]
This record from Alexandria via LeMat-Bulk describes crystalline NaPmSm at its relaxed geometry. The functional is GGA-PBE.

The structure in extended XYZ format:
```
3
Lattice="3.553 0.000 0.000 0.000 3.553 0.000 -1.777 -1.777 8.282" Properties=species:S:1:pos:R:3 pbc="T T T"
Na 0.000 0.000 0.004
Sm 1.777 1.777 2.885
Pm 0.000 0.000 5.393
```

Properties
Energy relative to the lowest polymorph listed for this composition, meV per atom: 18


[9]
This record from Alexandria via LeMat-Bulk describes crystalline NaPmSm at its relaxed geometry. The functional is GGA-PBE.

The structure in extended XYZ format:
```
6
Lattice="-3.271 1.135 -1.821 -0.596 -3.669 -1.217 -7.069 -2.537 11.113" Properties=species:S:1:pos:R:3 pbc="T T T"
Na 0.000 0.000 0.000
Na -1.933 -1.267 -1.519
Pm -4.469 -3.332 5.948
Pm -4.534 -0.473 3.646
Sm -1.986 -2.441 2.045
Sm -7.016 -1.364 7.549
```

Properties
Energy relative to the lowest polymorph listed for this composition, meV per atom: 169


[10]
This record from Alexandria via LeMat-Bulk describes crystalline NaPmSm at its relaxed geometry. The functional is GGA-PBE.

The structure in extended XYZ format:
```
6
Lattice="-2.403 5.549 1.651 -2.976 -1.648 1.204 8.958 -8.336 5.341" Properties=species:S:1:pos:R:3 pbc="T T T"
Na 3.920 -4.129 7.167
Na 6.603 -6.074 5.735
Pm 3.661 -2.093 3.909
Pm -2.099 0.219 3.652
Sm 0.592 -1.732 2.229
Sm 0.969 -0.142 5.332
```

Properties
Energy relative to the lowest polymorph listed for this composition, meV per atom: 0


[11]
This record from Alexandria via LeMat-Bulk describes crystalline NaPmSmSn at its relaxed geometry. The functional is GGA-PBE.

The structure in extended XYZ format:
```
4
Lattice="-2.975 -4.367 1.301 -2.069 -3.151 -3.925 1.999 -4.995 -0.815" Properties=species:S:1:pos:R:3 pbc="T T T"
Na -2.284 -9.385 -2.579
Sn -0.761 -3.128 -0.860
Sm -1.523 -6.256 -1.719
Pm 0.000 0.000 0.000
```

Properties
Total energy, eV/f.u.: -16.1


[12]
This record from Alexandria via LeMat-Bulk describes crystalline Na3Pm2SmTe6 at its relaxed geometry. The functional is GGA-PBE.

The structure in extended XYZ format:
```
12
Lattice="7.823 -0.002 0.000 -3.911 6.775 0.000 -1.305 -2.259 7.569" Properties=species:S:1:pos:R:3 pbc="T T T"
Na -2.601 4.512 3.785
Na 5.208 0.002 3.785
Na 1.304 2.257 3.785
Pm 0.001 4.515 0.000
Pm 3.910 2.258 0.000
Sm 0.000 0.000 0.000
Te 3.907 2.264 5.773
Te 2.612 4.523 1.798
Te -1.299 2.250 1.797
Te 0.009 4.515 5.773
Te -0.005 -0.009 5.772
Te 2.598 -0.001 1.797
```

Properties
Formation energy from raw total energies, eV/atom: -1.33


[13]
This record from Alexandria via LeMat-Bulk describes crystalline Na2PmSm3Te6 at its relaxed geometry. The functional is GGA-PBE.

The structure in extended XYZ format:
```
12
Lattice="-0.591 5.537 5.358 -5.693 -5.153 -0.872 5.344 -4.557 3.444" Properties=species:S:1:pos:R:3 pbc="T T T"
Na -3.990 -1.584 1.208
Na -2.294 1.969 3.279
Pm 0.000 0.000 0.000
Sm -2.163 -5.635 1.897
Sm 1.224 1.462 6.033
Sm -0.470 -2.087 3.965
Te 0.139 -1.348 6.982
Te -3.372 -0.867 4.249
Te -1.079 -2.826 0.949
Te -1.559 -4.905 4.909
Te 2.433 -3.306 3.681
Te 0.619 0.731 3.022
```

Properties
Formation energy from raw total energies, eV/atom: -1.35


[14]
This record from Alexandria via LeMat-Bulk describes crystalline NaPm3Sm4Te8 at its relaxed geometry. The functional is GGA-PBE.

The structure in extended XYZ format:
```
16
Lattice="-5.453 -5.416 4.531 5.491 0.347 7.022 -3.159 7.541 -3.571" Properties=species:S:1:pos:R:3 pbc="T T T"
Na 2.745 0.174 3.511
Pm 0.019 -2.534 5.777
Pm -1.561 1.236 3.991
Pm 1.166 3.944 1.726
Sm -2.726 -2.708 2.266
Sm -4.306 1.063 0.480
Sm 0.000 0.000 0.000
Sm -1.580 3.771 -1.785
Te 2.758 -1.076 6.386
Te 1.192 2.662 4.616
Te -1.573 2.497 1.092
Te 0.008 -3.808 8.671
Te -3.129 6.280 -0.688
Te -1.548 -0.025 6.891
Te -4.313 -0.190 3.367
Te -5.879 3.549 1.597
```

Properties
Formation energy from raw total energies, eV/atom: -1.38


[15]
This record from Alexandria via LeMat-Bulk describes crystalline NaPm2SmTl4 at its relaxed geometry. The functional is GGA-PBE.

The structure in extended XYZ format:
```
8
Lattice="5.402 0.000 0.000 2.701 4.678 0.000 2.701 1.559 9.035" Properties=species:S:1:pos:R:3 pbc="T T T"
Na 5.402 3.119 4.517
Pm 8.103 4.678 6.629
Pm 2.701 1.559 2.405
Sm 0.000 0.000 0.000
Tl 5.402 3.119 7.911
Tl 8.103 4.678 3.380
Tl 2.701 1.559 5.655
Tl 5.402 3.119 1.124
```

Properties
Total energy, eV/f.u.: -27.6


[16]
This record from Alexandria via LeMat-Bulk describes crystalline NaPmSm2Tl4 at its relaxed geometry. The functional is GGA-PBE.

The structure in extended XYZ format:
```
8
Lattice="5.396 0.000 0.000 2.698 4.673 0.000 2.698 1.558 9.023" Properties=species:S:1:pos:R:3 pbc="T T T"
Na 5.396 3.115 4.512
Pm 0.000 0.000 0.000
Sm 8.094 4.673 6.627
Sm 2.698 1.558 2.396
Tl 5.396 3.115 7.888
Tl 8.094 4.673 3.388
Tl 2.698 1.558 5.635
Tl 5.396 3.115 1.135
```

Properties
Total energy, eV/f.u.: -27.5


[17]
This record from Alexandria via LeMat-Bulk describes crystalline NaPmSn at its relaxed geometry. The functional is GGA-PBE.

The structure in extended XYZ format:
```
6
Lattice="4.740 0.002 0.001 2.372 5.640 0.404 2.375 0.929 7.168" Properties=species:S:1:pos:R:3 pbc="T T T"
Na 6.825 3.083 4.794
Na 4.452 5.546 3.932
Pm 4.450 2.321 1.664
Pm 6.828 6.307 7.063
Sn 6.823 4.741 1.996
Sn 4.455 3.889 6.732
```

Properties
Energy relative to the lowest polymorph listed for this composition, meV per atom: 187


[18]
This record from Alexandria via LeMat-Bulk describes crystalline NaPm6Sn3 at its relaxed geometry. The functional is GGA-PBE.

The structure in extended XYZ format:
```
20
Lattice="8.688 0.000 0.000 0.000 8.467 1.047 0.000 -0.869 8.487" Properties=species:S:1:pos:R:3 pbc="T T T"
Na 7.813 2.599 5.723
Na 3.469 4.998 3.811
Pm 1.291 5.134 6.435
Pm 5.635 5.127 6.440
Pm 3.461 3.360 8.853
Pm 7.805 7.880 5.251
Pm 1.365 0.593 7.321
Pm 5.559 0.598 7.318
Pm 1.215 7.000 2.216
Pm 5.709 7.004 2.212
Pm 3.461 -0.283 4.283
Pm 7.805 4.238 0.680
Pm 1.291 2.471 3.093
Pm 5.635 2.464 3.099
Sn 3.463 6.566 8.227
Sn 7.807 6.555 8.237
Sn 3.458 2.554 5.759
Sn 7.802 5.044 3.774
Sn 7.807 1.031 1.306
Sn 3.463 1.043 1.297
```

Properties
Total energy, eV/f.u.: -46.2


[19]
This record from Alexandria via LeMat-Bulk describes crystalline Na2PmSn9 at its relaxed geometry. The functional is GGA-PBE.

The structure in extended XYZ format:
```
12
Lattice="4.689 0.000 0.000 0.000 4.689 0.000 0.000 0.000 14.567" Properties=species:S:1:pos:R:3 pbc="T T T"
Na 0.000 0.000 4.850
Na 0.000 0.000 9.717
Pm 0.000 0.000 0.000
Sn 2.345 2.345 0.000
Sn 2.345 2.345 4.896
Sn 2.345 2.345 9.671
Sn 2.345 0.000 2.473
Sn 2.345 0.000 7.283
Sn 2.345 0.000 12.094
Sn 0.000 2.345 2.473
Sn 0.000 2.345 7.283
Sn 0.000 2.345 12.094
```

Properties
Total energy, eV/f.u.: -46.2


[20]
This record from Alexandria via LeMat-Bulk describes crystalline NaPmSn at its relaxed geometry. The functional is GGA-PBE.

The structure in extended XYZ format:
```
3
Lattice="3.511 0.000 0.000 0.000 3.511 0.000 -1.756 -1.756 7.421" Properties=species:S:1:pos:R:3 pbc="T T T"
Na 0.000 0.000 0.282
Sn 1.756 1.756 2.504
Pm 0.000 0.000 4.635
```

Properties
Energy relative to the lowest polymorph listed for this composition, meV per atom: 296


[21]
This record from Alexandria via LeMat-Bulk describes crystalline NaPm12Sn7 at its relaxed geometry. The functional is GGA-PBE.

The structure in extended XYZ format:
```
20
Lattice="10.761 -1.161 -1.743 -4.108 10.013 -1.743 -4.108 -5.465 8.570" Properties=species:S:1:pos:R:3 pbc="T T T"
Na 0.000 0.000 0.000
Pm 5.732 -2.132 4.427
Pm 6.187 1.194 -1.156
Pm 2.699 -1.336 2.365
Pm 4.579 2.060 2.123
Pm -0.574 -3.484 5.345
Pm 0.705 0.045 5.406
Pm 1.840 3.342 -0.322
Pm 3.119 6.871 -0.262
Pm -2.033 1.327 2.960
Pm -0.153 4.723 2.719
Pm -3.641 2.193 6.240
Pm -3.187 5.518 0.656
Sn 3.924 0.417 4.818
Sn 3.236 0.437 -0.358
Sn -0.480 -1.574 2.843
Sn 1.273 1.693 2.542
Sn 3.025 4.961 2.241
Sn -0.690 2.950 5.441
Sn -1.378 2.970 0.266
```

Properties
Total energy, eV/f.u.: -91.5


[22]
This record from Alexandria via LeMat-Bulk describes crystalline NaPm4Sn4 at its relaxed geometry. The functional is GGA-PBE.

The structure in extended XYZ format:
```
18
Lattice="6.467 0.000 0.000 0.000 9.218 0.000 0.000 0.000 9.218" Properties=species:S:1:pos:R:3 pbc="T T T"
Na 0.000 0.000 0.000
Na 3.234 4.609 4.609
Pm 2.309 2.569 8.495
Pm 5.543 5.332 7.178
Pm 2.309 6.649 0.723
Pm 0.925 2.040 5.332
Pm 4.158 8.495 6.649
Pm 0.925 7.178 3.886
Pm 5.543 3.886 2.040
Pm 4.158 0.723 2.569
Sn 4.233 7.045 3.658
Sn 4.233 2.173 5.560
Sn 1.000 8.267 6.782
Sn 5.468 2.436 8.267
Sn 5.468 6.782 0.951
Sn 2.234 3.658 2.173
Sn 2.234 5.560 7.045
Sn 1.000 0.951 2.436
```

Properties
Total energy, eV/f.u.: -40.2